1.
Compound: TaTc2Cl
Source: Alexandria
Functional: GGA-PBE
Structure: optimized geometry

a = 2.908 Å, b = 4.009 Å, c = 5.613 Å
α = 90.00°, β = 102.86°, γ = 90.00°
Element x y z (fractional)
Ta (0.000, 0.000, 0.000)
Tc (0.161, 0.000, 0.482)
Tc (0.583, 0.500, 0.272)
Cl (0.951, 0.500, 0.694)

Values from the calculation:
Polymorph energy (0 for the lowest one), meV per atom: 194
Uncorrected energy, eV/atom: -8.32
V, Å³ per atom: 15.95
Uncorrected formation energy, kJ/mol of atoms: 27.6


2.
Compound: TaTcCl2
Source: Alexandria
Functional: GGA-PBE
Structure: optimized geometry

a = 5.599 Å, b = 5.599 Å, c = 9.847 Å
α = 90.00°, β = 90.00°, γ = 90.00°
Element x y z (fractional)
Ta (0.000, 0.000, 0.000)
Ta (0.000, 0.500, 0.250)
Ta (0.500, 0.000, 0.750)
Ta (0.500, 0.500, 0.500)
Tc (0.000, 0.000, 0.500)
Tc (0.000, 0.500, 0.750)
Tc (0.500, 0.000, 0.250)
Tc (0.500, 0.500, 0.000)
Cl (0.237, 0.250, 0.625)
Cl (0.250, 0.737, 0.875)
Cl (0.250, 0.763, 0.375)
Cl (0.263, 0.250, 0.125)
Cl (0.737, 0.750, 0.125)
Cl (0.750, 0.237, 0.375)
Cl (0.750, 0.263, 0.875)
Cl (0.763, 0.750, 0.625)

Values from the calculation:
Polymorph energy (0 for the lowest one), meV per atom: 1417
Uncorrected energy, eV/atom: -5.56
V, Å³ per atom: 19.29
Uncorrected formation energy, kJ/mol of atoms: 88.4


3.
Compound: TaTcCl2
Source: Alexandria
Functional: GGA-PBE
Structure: optimized geometry

a = 3.405 Å, b = 3.004 Å, c = 8.798 Å
α = 90.00°, β = 90.31°, γ = 90.00°
Element x y z (fractional)
Ta (0.000, 0.000, 0.000)
Tc (0.498, 0.500, 0.830)
Cl (0.004, 0.500, 0.224)
Cl (0.496, 0.000, 0.620)

Values from the calculation:
Polymorph energy (0 for the lowest one), meV per atom: 0
Uncorrected energy, eV/atom: -6.98
V, Å³ per atom: 22.49
Uncorrected formation energy, kJ/mol of atoms: -48.3


4.
Compound: TaTc2Cl
Source: Alexandria
Functional: GGA-PBE
Structure: optimized geometry

a = 3.099 Å, b = 3.099 Å, c = 6.813 Å
α = 90.00°, β = 90.00°, γ = 90.00°
Element x y z (fractional)
Ta (0.000, 0.000, 0.000)
Tc (0.500, 0.500, 0.231)
Tc (0.500, 0.500, 0.769)
Cl (0.000, 0.000, 0.500)

Values from the calculation:
Polymorph energy (0 for the lowest one), meV per atom: 161
Uncorrected energy, eV/atom: -8.35
V, Å³ per atom: 16.35
Uncorrected formation energy, kJ/mol of atoms: 24.4


5.
Compound: TaTc2Cl
Source: Alexandria
Functional: GGA-PBE
Structure: optimized geometry

a = 3.628 Å, b = 3.628 Å, c = 9.665 Å
α = 90.00°, β = 90.00°, γ = 90.00°
Element x y z (fractional)
Ta (0.000, 0.000, 0.000)
Ta (0.500, 0.500, 0.500)
Tc (0.000, 0.500, 0.250)
Tc (0.000, 0.500, 0.750)
Tc (0.500, 0.000, 0.250)
Tc (0.500, 0.000, 0.750)
Cl (0.000, 0.000, 0.500)
Cl (0.500, 0.500, 0.000)

Values from the calculation:
Polymorph energy (0 for the lowest one), meV per atom: 689
Uncorrected energy, eV/atom: -7.83
V, Å³ per atom: 15.90
Uncorrected formation energy, kJ/mol of atoms: 75.4


6.
Compound: TaTc2Cl
Source: Alexandria
Functional: GGA-PBE
Structure: optimized geometry

a = 4.499 Å, b = 4.499 Å, c = 3.089 Å
α = 90.00°, β = 90.00°, γ = 90.00°
Element x y z (fractional)
Ta (0.000, 0.000, 0.000)
Tc (0.000, 0.500, 0.500)
Tc (0.500, 0.000, 0.500)
Cl (0.500, 0.500, 0.000)

Values from the calculation:
Polymorph energy (0 for the lowest one), meV per atom: 498
Uncorrected energy, eV/atom: -8.02
V, Å³ per atom: 15.63
Uncorrected formation energy, kJ/mol of atoms: 57.0


- Which of these has the highest polymorph energy (0 for the lowest one)?
  number 2